1:
# MgZn3Si

A relaxed MgZn3Si crystal (PBE, Alexandria).

## Properties
As for the space group: No. 221.

a = 4.8066 Å, b = 4.8066 Å, c = 4.8066 Å
α = 90.00°, β = 90.00°, γ = 90.00°
Last column: nearest neighbours and their distance in Å.
Element x y z (fractional)
Zn (0.0000, 0.5000, 0.0000)  2 Si 2.40
Zn (0.5000, 0.0000, 0.0000)  2 Si 2.40
Zn (0.0000, 0.0000, 0.5000)  2 Si 2.40
Mg (0.5000, 0.5000, 0.5000)  12 Zn 3.40
Si (0.0000, 0.0000, 0.0000)  6 Zn 2.40

---

2:
# MgZn3Si

A relaxed MgZn3Si crystal (PBE, Alexandria).

## Properties
As for the space group: No. 221.

a = 4.9126 Å, b = 4.9126 Å, c = 4.9126 Å
α = 90.00°, β = 90.00°, γ = 90.00°
Last column: nearest neighbours and their distance in Å.
Element x y z (fractional)
Si (0.5000, 0.5000, 0.5000)  12 Zn 3.47
Zn (0.5000, 0.0000, 0.0000)  2 Mg 2.46
Zn (0.0000, 0.5000, 0.0000)  2 Mg 2.46
Zn (0.0000, 0.0000, 0.5000)  2 Mg 2.46
Mg (0.0000, 0.0000, 0.0000)  6 Zn 2.46

---

Stability check: which of them is most stable? 1.

---

1:
# MgZrSi3

A relaxed MgZrSi3 crystal (PBE, Alexandria).

## Properties
As for the space group: No. 221.

a = 4.7301 Å, b = 4.7301 Å, c = 4.7301 Å
α = 90.00°, β = 90.00°, γ = 90.00°
Last column: nearest neighbours and their distance in Å.
Element x y z (fractional)
Si (0.0000, 0.5000, 0.0000)  2 Mg 2.37
Zr (0.5000, 0.5000, 0.5000)  12 Si 3.34
Si (0.0000, 0.0000, 0.5000)  2 Mg 2.37
Si (0.5000, 0.0000, 0.0000)  2 Mg 2.37
Mg (0.0000, 0.0000, 0.0000)  6 Si 2.37

---

2:
# MgZrSi3

A relaxed MgZrSi3 crystal (PBE, Alexandria).

## Properties
As for the space group: No. 221.

a = 5.0823 Å, b = 5.0823 Å, c = 5.0823 Å
α = 90.00°, β = 90.00°, γ = 90.00°
Last column: nearest neighbours and their distance in Å.
Element x y z (fractional)
Si (0.0000, 0.5000, 0.0000)  2 Zr 2.54
Zr (0.0000, 0.0000, 0.0000)  6 Si 2.54
Si (0.0000, 0.0000, 0.5000)  2 Zr 2.54
Si (0.5000, 0.0000, 0.0000)  2 Zr 2.54
Mg (0.5000, 0.5000, 0.5000)  12 Si 3.59

---

Stability check: which of them is most stable? 2.

---

1:
# Mg6ZrSi

A relaxed Mg6ZrSi crystal (PBE, Alexandria).

## Properties
As for the space group: No. 38.

a = 6.3936 Å, b = 6.3936 Å, c = 4.9720 Å
α = 90.00°, β = 90.00°, γ = 124.87°
Last column: nearest neighbours and their distance in Å.
Element x y z (fractional)
Mg (0.1853, 0.8147, 0.0000)  10 Mg 2.97-3.32, 2 Si 3.00
Zr (0.8212, 0.1788, 0.5000)  2 Si 2.96, 10 Mg 3.05-3.23
Mg (0.8248, 0.6760, 0.5000)  8 Mg 2.95-3.15, 2 Si 3.10-3.29, 2 Zr 3.17-3.23
Si (0.3338, 0.6662, 0.5000)  2 Zr 2.96, 10 Mg 3.00-3.29
Mg (0.6661, 0.3339, 0.0000)  10 Mg 2.97-3.25, 2 Zr 3.05
Mg (0.1686, 0.3238, 0.0000)  7 Mg 2.91-3.25, 2 Si 3.07, 2 Zr 3.10
Mg (0.3240, 0.1752, 0.5000)  8 Mg 2.95-3.15, 2 Si 3.10-3.29, 2 Zr 3.17-3.23
Mg (0.6762, 0.8314, 0.0000)  7 Mg 2.91-3.25, 2 Si 3.07, 2 Zr 3.10

---

2:
# Mg6ZrSi

A relaxed Mg6ZrSi crystal (PBE, Alexandria).

## Properties
As for the space group: No. 38.

a = 6.3165 Å, b = 6.3165 Å, c = 4.8395 Å
α = 90.00°, β = 90.00°, γ = 119.35°
Last column: nearest neighbours and their distance in Å.
Element x y z (fractional)
Mg (0.8290, 0.6646, 0.5000)  8 Mg 3.00-3.23, 2 Si 3.06-3.26, 2 Zr 3.09
Mg (0.3354, 0.1710, 0.5000)  8 Mg 3.00-3.23, 2 Si 3.06-3.26, 2 Zr 3.09
Mg (0.8312, 0.1688, 0.5000)  10 Mg 3.01-3.18, 2 Si 3.19
Si (0.3204, 0.6796, 0.5000)  2 Zr 2.87, 8 Mg 3.06-3.19
Mg (0.6673, 0.3327, 0.0000)  10 Mg 3.01-3.17, 2 Zr 3.19
Zr (0.1788, 0.8212, 0.0000)  2 Si 2.87, 8 Mg 3.06-3.19
Mg (0.1694, 0.3315, 0.0000)  8 Mg 3.00-3.19, 2 Zr 3.06-3.25, 2 Si 3.09
Mg (0.6685, 0.8306, 0.0000)  8 Mg 3.00-3.19, 2 Zr 3.06-3.25, 2 Si 3.09

---

Stability check: which of them is most stable? 1.

---

1:
# Mg14ZrSi

A relaxed Mg14ZrSi crystal (PBE, Alexandria).

## Properties
As for the space group: No. 38.

a = 6.3292 Å, b = 6.3292 Å, c = 10.2939 Å
α = 90.00°, β = 90.00°, γ = 122.11°
Last column: nearest neighbours and their distance in Å.
Element x y z (fractional)
Mg (0.1661, 0.3308, 0.7453)  10 Mg 3.04-3.22, 1 Si 3.10, 1 Zr 3.11
Mg (0.8326, 0.1674, 0.0000)  12 Mg 3.06-3.18
Mg (0.6704, 0.3296, 0.2482)  11 Mg 3.07-3.20, 1 Zr 3.12
Mg (0.3295, 0.1665, 0.0000)  12 Mg 3.04-3.27
Mg (0.6704, 0.3296, 0.7518)  11 Mg 3.07-3.20, 1 Zr 3.12
Mg (0.1735, 0.8265, 0.7371)  1 Si 3.01, 11 Mg 3.07-3.27
Mg (0.6692, 0.8339, 0.2547)  10 Mg 3.04-3.22, 1 Si 3.10, 1 Zr 3.11
Mg (0.1661, 0.3308, 0.2547)  10 Mg 3.04-3.22, 1 Si 3.10, 1 Zr 3.11
Mg (0.1735, 0.8265, 0.2629)  1 Si 3.01, 11 Mg 3.07-3.27
Si (0.3332, 0.6668, 0.5000)  10 Mg 3.01-3.24, 2 Zr 3.06
Mg (0.6692, 0.8339, 0.7453)  10 Mg 3.04-3.22, 1 Si 3.10, 1 Zr 3.11
Mg (0.3325, 0.1775, 0.5000)  8 Mg 3.00-3.17, 2 Si 3.09-3.24, 2 Zr 3.15-3.18
Mg (0.8225, 0.6675, 0.5000)  8 Mg 3.00-3.17, 2 Si 3.09-3.24, 2 Zr 3.15-3.18
Mg (0.8335, 0.6705, 0.0000)  12 Mg 3.04-3.27
Mg (0.3307, 0.6693, 0.0000)  12 Mg 3.06-3.22
Zr (0.8270, 0.1730, 0.5000)  2 Si 3.06, 10 Mg 3.11-3.18

---

2:
# Mg14ZrSi

A relaxed Mg14ZrSi crystal (PBE, Alexandria).

## Properties
As for the space group: No. 187.

a = 6.3540 Å, b = 6.3540 Å, c = 10.0460 Å
α = 90.00°, β = 90.00°, γ = 120.00°
Last column: nearest neighbours and their distance in Å.
Element x y z (fractional)
Mg (0.5027, 0.0054, 0.5000)  10 Mg 3.09-3.23, 2 Si 3.18
Mg (0.6809, 0.8405, 0.2568)  1 Si 3.01, 10 Mg 3.04-3.31, 1 Zr 3.12
Zr (0.0000, 0.0000, 0.0000)  12 Mg 3.12-3.18
Mg (0.1595, 0.3191, 0.7432)  1 Si 3.01, 10 Mg 3.04-3.31, 1 Zr 3.12
Mg (0.4947, 0.5053, 0.0000)  10 Mg 3.07-3.28, 2 Zr 3.18
Mg (0.0105, 0.5053, 0.0000)  10 Mg 3.07-3.28, 2 Zr 3.18
Si (0.0000, 0.0000, 0.5000)  12 Mg 3.01-3.18
Mg (0.6809, 0.8405, 0.7432)  1 Si 3.01, 10 Mg 3.04-3.31, 1 Zr 3.12
Mg (0.9946, 0.4973, 0.5000)  10 Mg 3.09-3.23, 2 Si 3.18
Mg (0.1595, 0.8405, 0.2568)  1 Si 3.01, 10 Mg 3.04-3.31, 1 Zr 3.12
Mg (0.5027, 0.4973, 0.5000)  10 Mg 3.09-3.23, 2 Si 3.18
Mg (0.6667, 0.3333, 0.7590)  12 Mg 3.07-3.18
Mg (0.1595, 0.8405, 0.7432)  1 Si 3.01, 10 Mg 3.04-3.31, 1 Zr 3.12
Mg (0.4947, 0.9895, 0.0000)  10 Mg 3.07-3.28, 2 Zr 3.18
Mg (0.1595, 0.3191, 0.2568)  1 Si 3.01, 10 Mg 3.04-3.31, 1 Zr 3.12
Mg (0.6667, 0.3333, 0.2410)  12 Mg 3.07-3.18

---

Stability check: which of them is most stable? 1.

---

1:
# Sm3Mg5

A relaxed Sm3Mg5 crystal (PBE, Alexandria).

## Properties
As for the space group: No. 65.

a = 5.2503 Å, b = 6.6145 Å, c = 6.6145 Å
α = 107.76°, β = 90.00°, γ = 90.00°
Last column: nearest neighbours and their distance in Å.
Element x y z (fractional)
Sm (0.5000, 0.2376, 0.7624)  8 Mg 3.19-3.43
Mg (0.0000, 0.5000, 0.0000)  6 Sm 3.27-3.31, 2 Mg 3.31
Mg (0.0000, 0.0000, 0.0000)  8 Mg 3.26-3.31
Sm (0.5000, 0.7624, 0.2376)  8 Mg 3.19-3.43
Sm (0.0000, 0.5000, 0.5000)  8 Mg 3.28-3.31
Mg (0.5000, 0.2475, 0.2475)  6 Sm 3.19-3.43, 2 Mg 3.26
Mg (0.0000, 0.0000, 0.5000)  6 Sm 3.27-3.31, 2 Mg 3.31
Mg (0.5000, 0.7525, 0.7525)  6 Sm 3.19-3.43, 2 Mg 3.26

---

2:
# Sm3Mg5

A relaxed Sm3Mg5 crystal (PBE, Alexandria).

## Properties
As for the space group: No. 229.

a = 6.5908 Å, b = 6.5908 Å, c = 6.5908 Å
α = 109.47°, β = 109.47°, γ = 109.47°
Last column: nearest neighbours and their distance in Å.
Element x y z (fractional)
Mg (0.0000, 0.0000, 0.5000)  2 Mg 3.30, 6 Sm 3.30
Mg (0.0000, 0.5000, 0.0000)  6 Sm 3.30, 2 Mg 3.30
Sm (0.5000, 0.5000, 0.0000)  8 Mg 3.30
Sm (0.0000, 0.5000, 0.5000)  8 Mg 3.30
Mg (0.5000, 0.0000, 0.0000)  6 Sm 3.30, 2 Mg 3.30
Mg (0.5000, 0.5000, 0.5000)  6 Sm 3.30, 2 Mg 3.30
Sm (0.5000, 0.0000, 0.5000)  8 Mg 3.30
Mg (0.0000, 0.0000, 0.0000)  8 Mg 3.30

---

Stability check: which of them is most stable? 1.

---

1:
# Sm2Mg

A relaxed Sm2Mg crystal (PBE, Alexandria).

## Properties
As for the space group: No. 141.

a = 3.7915 Å, b = 3.7915 Å, c = 13.4254 Å
α = 98.12°, β = 98.12°, γ = 90.00°
Last column: nearest neighbours and their distance in Å.
Element x y z (fractional)
Sm (0.4295, 0.4295, 0.8589)  4 Mg 3.26, 2 Sm 3.44
Sm (0.3205, 0.8205, 0.6411)  4 Mg 3.26, 2 Sm 3.44
Mg (0.7500, 0.2500, 0.5000)  8 Sm 3.26
Mg (0.0000, 0.0000, 0.0000)  8 Sm 3.26
Sm (0.5705, 0.5705, 0.1411)  4 Mg 3.26, 2 Sm 3.44
Sm (0.1795, 0.6795, 0.3589)  4 Mg 3.26, 2 Sm 3.44

---

2:
# Sm2Mg

A relaxed Sm2Mg crystal (PBE, Alexandria).

## Properties
As for the space group: No. 63.

a = 8.8990 Å, b = 8.8990 Å, c = 5.5726 Å
α = 90.00°, β = 90.00°, γ = 155.40°
Last column: nearest neighbours and their distance in Å.
Element x y z (fractional)
Sm (0.2276, 0.7724, 0.7500)  2 Mg 3.36, 8 Sm 3.46-3.71
Mg (0.4320, 0.5680, 0.2500)  8 Sm 3.32-3.39, 2 Mg 3.65
Mg (0.5680, 0.4320, 0.7500)  8 Sm 3.32-3.39, 2 Mg 3.65
Sm (0.7724, 0.2276, 0.2500)  2 Mg 3.36, 8 Sm 3.46-3.71
Sm (0.0888, 0.9112, 0.2500)  6 Mg 3.32-3.39, 4 Sm 3.69-3.71
Sm (0.9112, 0.0888, 0.7500)  6 Mg 3.32-3.39, 4 Sm 3.69-3.71

---

Stability check: which of them is most stable? 2.